Record 1
An optimized crystal structure of KCeN2. Source: Alexandria, functional PBE.

abc: 3.632 3.632 6.789
angles: 74.48 74.48 60.00
Positions (direct):
K 0.500 0.500 0.500
Ce 0.000 0.000 0.000
N 0.276 0.276 0.171
N 0.724 0.724 0.829

Values from the calculation:
space group = R-3m, No. 166
mass density = 4.66 g/cm3
density of states at the Fermi level = 3.3 states/eV/cell
raw formation energy = -555 meV per atom
calculated total energy = -25.9 eV for the cell shown

=====

Record 2
An optimized crystal structure of KCe2N3. Source: Alexandria, functional PBE.

abc: 3.595 6.388 9.280
angles: 103.85 90.00 90.00
Positions (direct):
K 0.250 0.527 0.842
K 0.750 0.473 0.158
Ce 0.250 0.752 0.493
Ce 0.750 0.248 0.507
Ce 0.750 0.009 0.835
Ce 0.250 0.991 0.165
N 0.750 0.674 0.631
N 0.250 0.326 0.369
N 0.750 0.904 0.360
N 0.250 0.096 0.640
N 0.250 0.163 0.979
N 0.750 0.837 0.021

Values from the calculation:
space group = P2_1/m, No. 11
mass density = 5.80 g/cm3
raw formation energy = -1040 meV per atom
calculated total energy = -88.4 eV for the cell shown

=====

Record 3
An optimized crystal structure of KCe2N. Source: Alexandria, functional PBE.

abc: 3.562 3.562 10.956
angles: 80.65 80.65 60.00
Positions (direct):
K 0.000 0.000 0.000
Ce 0.124 0.124 0.628
Ce 0.876 0.876 0.372
N 0.500 0.500 0.500

Values from the calculation:
space group = R-3m, No. 166
mass density = 4.68 g/cm3
density of states at the Fermi level = 8.4 states/eV/cell
raw formation energy = -483 meV per atom
calculated total energy = -23.2 eV for the cell shown

=====

Record 4
An optimized crystal structure of KCe2Np3N8. Source: Alexandria, functional PBE.

abc: 6.936 6.936 7.030
angles: 60.44 60.44 60.00
Positions (direct):
K 0.874 0.874 0.377
Ce 0.118 0.118 0.645
Ce 0.501 0.501 0.497
Np 0.501 0.995 0.003
Np 0.995 0.501 0.003
Np 0.501 0.501 0.003
N 0.266 0.266 0.201
N 0.722 0.722 0.834
N 0.256 0.256 0.785
N 0.702 0.256 0.785
N 0.256 0.702 0.785
N 0.733 0.332 0.201
N 0.332 0.733 0.201
N 0.733 0.733 0.201

Values from the calculation:
space group = R3m, No. 160
mass density = 7.88 g/cm3
density of states at the Fermi level = 18.2 states/eV/cell
raw formation energy = -1034 meV per atom
calculated total energy = -132.9 eV for the cell shown

=====

Record 5
An optimized crystal structure of K3Ce2NpN6. Source: Alexandria, functional PBE.

abc: 6.197 6.197 6.714
angles: 98.86 98.86 120.01
Positions (direct):
K 0.165 0.835 0.500
K 0.835 0.165 0.500
K 0.500 0.500 0.500
Ce 0.333 0.667 0.000
Ce 0.667 0.333 0.000
Np 0.000 0.000 0.000
N 0.946 0.642 0.837
N 0.751 0.751 0.162
N 0.054 0.358 0.163
N 0.642 0.946 0.837
N 0.249 0.249 0.838
N 0.358 0.054 0.163

Values from the calculation:
space group = C2/m, No. 12
mass density = 5.62 g/cm3
raw formation energy = -872 meV per atom
calculated total energy = -88.5 eV for the cell shown

=====

Record 6
An optimized crystal structure of K2CeNpN4. Source: Alexandria, functional PBE.

abc: 3.591 6.127 6.693
angles: 107.65 90.00 90.00
Positions (direct):
K 0.500 0.000 0.500
K 0.000 0.500 0.500
Ce 0.500 0.500 0.000
Np 0.000 0.000 0.000
N 0.500 0.207 0.162
N 0.500 0.793 0.838
N 0.000 0.248 0.841
N 0.000 0.752 0.159

Values from the calculation:
space group = P2/m, No. 10
mass density = 6.05 g/cm3
density of states at the Fermi level = 1.9 states/eV/cell
raw formation energy = -865 meV per atom
calculated total energy = -61.3 eV for the cell shown

=====

Record 7
An optimized crystal structure of KCeNO. Source: Alexandria, functional PBE.

abc: 3.604 3.604 6.798
angles: 90.03 105.37 120.00
Positions (direct):
K 0.966 0.381 0.362
Ce 0.310 0.553 0.878
N 0.083 0.940 0.038
O 0.519 0.157 0.692

Values from the calculation:
space group = R3m, No. 160
mass density = 4.77 g/cm3
raw formation energy = -1741 meV per atom
calculated total energy = -27.3 eV for the cell shown

=====

Record 8
An optimized crystal structure of KCePN3. Source: Alexandria, functional PBE.

abc: 3.867 6.578 7.700
angles: 106.03 90.00 107.10
Positions (direct):
K 0.359 0.717 0.940
K 0.641 0.283 0.060
Ce 0.648 0.296 0.577
Ce 0.352 0.704 0.423
P 0.008 0.016 0.259
P 0.992 0.984 0.741
N 0.871 0.743 0.249
N 0.852 0.703 0.630
N 0.507 0.015 0.300
N 0.148 0.297 0.370
N 0.493 0.985 0.700
N 0.129 0.257 0.751

Values from the calculation:
space group = C2/m, No. 12
mass density = 4.67 g/cm3
density of states at the Fermi level = 0.4 states/eV/cell
raw formation energy = -516 meV per atom
calculated total energy = -81.0 eV for the cell shown